# 1
Entry from Alexandria: a relaxed structure of RbMnTe3As (PBE).

```
RbMnTe3As
1.0
4.371 0.000 0.000
0.000 9.838 -0.562
0.000 -3.104 10.191
Rb Mn Te As
2 2 6 2
Direct
0.750 0.793 0.753
0.250 0.207 0.247
0.750 0.916 0.389
0.250 0.084 0.611
0.750 0.865 0.123
0.750 0.212 0.539
0.750 0.470 0.146
0.250 0.530 0.854
0.250 0.135 0.877
0.250 0.788 0.461
0.250 0.663 0.121
0.750 0.337 0.879
```

## Properties
* E: -4.3727 eV/atom
* SG: P2_1/m, No. 11
* calculated volume: 35.883 A^3/atom
* M_tot: 5.0 μB per formula unit

# 2
Entry from Alexandria: a relaxed structure of LuThMgCu (PBE).

```
LuThMgCu
1.0
5.152 0.000 0.000
2.576 4.462 0.000
2.576 1.487 4.207
Lu Mg Cu Th
1 1 1 1
Direct
0.500 0.500 0.500
0.750 0.750 0.750
0.250 0.250 0.250
0.000 0.000 0.000
```

## Properties
* DFT formation energy: 0.039 eV/atom
* SG: F-43m, No. 216
* calculated volume: 24.173 A^3/atom
* M_tot: 0.0 μB per formula unit